Entry from Alexandria: a relaxed structure of CaAlFe2Ru (PBE).

Values from the calculation:
Its symmetry is P4/mmm. The formation enthalpy at 0 K is 0.653 eV/atom.

a b c (Å): 4.516 4.516 4.575
angles (deg): 90.00 90.00 90.00
Positions (direct):
Ca (0.000, 0.000, 0.000)
Al (0.500, 0.500, 0.500)
Fe (0.000, 0.500, 0.500)
Fe (0.500, 0.000, 0.500)
Ru (0.500, 0.500, 0.000)



Entry from Alexandria: a relaxed structure of Ca2AlFeSb (PBE).

Values from the calculation:
Its symmetry is P4/mmm. The calculation puts the formation energy without anion corrections at 0.13 eV/atom.

a b c (Å): 5.349 5.349 4.796
angles (deg): 90.00 90.00 90.00
Positions (direct):
Ca (0.000, 0.500, 0.000)
Ca (0.500, 0.000, 0.000)
Al (0.000, 0.000, 0.500)
Fe (0.500, 0.500, 0.000)
Sb (0.500, 0.500, 0.500)



Entry from Alexandria: a relaxed structure of CaAlTlFe2 (PBE).

Values from the calculation:
Its symmetry is P4/mmm. The formation enthalpy at 0 K is 0.722 eV/atom.

a b c (Å): 4.647 4.647 5.463
angles (deg): 90.00 90.00 90.00
Positions (direct):
Ca (0.000, 0.000, 0.000)
Al (0.000, 0.000, 0.500)
Tl (0.500, 0.500, 0.000)
Fe (0.000, 0.500, 0.500)
Fe (0.500, 0.000, 0.500)



Entry from Alexandria: a relaxed structure of CaY2AlFe (PBE).

Values from the calculation:
Its symmetry is P4/mmm. The formation enthalpy at 0 K is -0.023 eV/atom.

a b c (Å): 5.163 5.163 4.869
angles (deg): 90.00 90.00 90.00
Positions (direct):
Ca (0.000, 0.000, 0.000)
Y (0.000, 0.500, 0.500)
Y (0.500, 0.000, 0.500)
Al (0.500, 0.500, 0.000)
Fe (0.500, 0.500, 0.500)



Entry from Alexandria: a relaxed structure of Ca2AlGa (PBE).

Values from the calculation:
Its symmetry is Cmcm. The formation enthalpy at 0 K is -0.362 eV/atom.

a b c (Å): 6.026 6.026 5.621
angles (deg): 90.00 90.00 78.59
Positions (direct):
Ca (0.031, 0.333, 0.250)
Ca (0.333, 0.031, 0.750)
Ca (0.667, 0.969, 0.250)
Ca (0.969, 0.667, 0.750)
Al (0.500, 0.500, 0.000)
Al (0.500, 0.500, 0.500)
Ga (0.196, 0.804, 0.250)
Ga (0.804, 0.196, 0.750)



Entry from Alexandria: a relaxed structure of Ca2AlGa12 (PBE).

Values from the calculation:
Its symmetry is P4/nbm. The formation enthalpy at 0 K is -0.222 eV/atom.

a b c (Å): 6.224 6.224 15.845
angles (deg): 90.00 90.00 90.00
Positions (direct):
Ca (0.250, 0.750, 0.246)
Ca (0.250, 0.750, 0.754)
Ca (0.750, 0.250, 0.246)
Ca (0.750, 0.250, 0.754)
Al (0.250, 0.750, 0.500)
Al (0.750, 0.250, 0.500)
Ga (0.000, 0.000, 0.405)
Ga (0.000, 0.000, 0.595)
Ga (0.000, 0.500, 0.405)
Ga (0.000, 0.500, 0.595)
Ga (0.078, 0.578, 0.068)
Ga (0.078, 0.922, 0.932)
Ga (0.250, 0.250, 0.152)
Ga (0.250, 0.250, 0.311)
Ga (0.250, 0.250, 0.689)
Ga (0.250, 0.250, 0.848)
Ga (0.422, 0.578, 0.932)
Ga (0.422, 0.922, 0.068)
Ga (0.500, 0.000, 0.405)
Ga (0.500, 0.000, 0.595)
Ga (0.500, 0.500, 0.405)
Ga (0.500, 0.500, 0.595)
Ga (0.578, 0.078, 0.932)
Ga (0.578, 0.422, 0.068)
Ga (0.750, 0.750, 0.152)
Ga (0.750, 0.750, 0.311)
Ga (0.750, 0.750, 0.689)
Ga (0.750, 0.750, 0.848)
Ga (0.922, 0.078, 0.068)
Ga (0.922, 0.422, 0.932)



Entry from Alexandria: a relaxed structure of Ca2Al2Ga (PBE).

Values from the calculation:
Its symmetry is C2/m. The formation enthalpy at 0 K is -0.342 eV/atom.

a b c (Å): 5.939 5.939 11.064
angles (deg): 115.25 115.25 44.71
Positions (direct):
Ca (0.009, 0.009, 0.331)
Ca (0.191, 0.191, 0.108)
Ca (0.809, 0.809, 0.892)
Ca (0.991, 0.991, 0.669)
Al (0.356, 0.356, 0.446)
Al (0.485, 0.485, 0.114)
Al (0.515, 0.515, 0.886)
Al (0.644, 0.644, 0.554)
Ga (0.280, 0.280, 0.656)
Ga (0.720, 0.720, 0.344)



Entry from Alexandria: a relaxed structure of Ca4AlGa (PBE).

Values from the calculation:
Its symmetry is F-43m. The formation enthalpy at 0 K is -0.237 eV/atom.

a b c (Å): 10.143 10.143 10.143
angles (deg): 60.00 60.00 60.00
Positions (direct):
Ca (0.051, 0.051, 0.449)
Ca (0.051, 0.449, 0.051)
Ca (0.051, 0.449, 0.449)
Ca (0.176, 0.608, 0.608)
Ca (0.192, 0.192, 0.808)
Ca (0.192, 0.808, 0.192)
Ca (0.192, 0.808, 0.808)
Ca (0.449, 0.051, 0.051)
Ca (0.449, 0.051, 0.449)
Ca (0.449, 0.449, 0.051)
Ca (0.608, 0.176, 0.608)
Ca (0.608, 0.608, 0.176)
Ca (0.608, 0.608, 0.608)
Ca (0.808, 0.192, 0.192)
Ca (0.808, 0.192, 0.808)
Ca (0.808, 0.808, 0.192)
Al (0.538, 0.821, 0.821)
Al (0.821, 0.538, 0.821)
Al (0.821, 0.821, 0.538)
Al (0.821, 0.821, 0.821)
Ga (0.394, 0.394, 0.394)
Ga (0.394, 0.394, 0.818)
Ga (0.394, 0.818, 0.394)
Ga (0.818, 0.394, 0.394)



Entry from Alexandria: a relaxed structure of CaAlGa3 (PBE).

Values from the calculation:
Its symmetry is Pm-3m. The formation enthalpy at 0 K is 0.869 eV/atom.

a b c (Å): 5.550 5.550 5.550
angles (deg): 90.00 90.00 90.00
Positions (direct):
Ca (0.000, 0.000, 0.000)
Al (0.500, 0.500, 0.500)
Ga (0.000, 0.000, 0.500)
Ga (0.000, 0.500, 0.000)
Ga (0.500, 0.000, 0.000)



Entry from Alexandria: a relaxed structure of CaAlGa4 (PBE).

Values from the calculation:
Its symmetry is F-43m. The formation enthalpy at 0 K is -0.125 eV/atom.

a b c (Å): 5.571 5.571 5.571
angles (deg): 60.00 60.00 60.00
Positions (direct):
Ca (0.000, 0.000, 0.000)
Al (0.250, 0.250, 0.250)
Ga (0.125, 0.625, 0.625)
Ga (0.625, 0.125, 0.625)
Ga (0.625, 0.625, 0.125)
Ga (0.625, 0.625, 0.625)



Entry from Alexandria: a relaxed structure of Ca2AlGa (PBE).

Values from the calculation:
Its symmetry is I-42d. The formation enthalpy at 0 K is 0.073 eV/atom.

a b c (Å): 6.737 6.737 6.737
angles (deg): 104.28 104.28 120.44
Positions (direct):
Ca (0.115, 0.625, 0.990)
Ca (0.375, 0.365, 0.490)
Ca (0.635, 0.125, 0.010)
Ca (0.875, 0.885, 0.510)
Al (0.250, 0.750, 0.500)
Al (0.500, 0.500, 0.000)
Ga (0.000, 0.000, 0.000)
Ga (0.750, 0.250, 0.500)



Entry from Alexandria: a relaxed structure of CaAlGa3 (PBE).

Values from the calculation:
Its symmetry is Pm-3m. The formation enthalpy at 0 K is 0.027 eV/atom.

a b c (Å): 4.978 4.978 4.978
angles (deg): 90.00 90.00 90.00
Positions (direct):
Ca (0.000, 0.000, 0.000)
Al (0.500, 0.500, 0.500)
Ga (0.000, 0.500, 0.500)
Ga (0.500, 0.000, 0.500)
Ga (0.500, 0.500, 0.000)



Entry from Alexandria: a relaxed structure of Ca2Al2Ga (PBE).

Values from the calculation:
Its symmetry is P4/mbm. The formation enthalpy at 0 K is -0.240 eV/atom.

a b c (Å): 7.024 7.024 4.931
angles (deg): 90.00 90.00 90.00
Positions (direct):
Ca (0.173, 0.327, 0.000)
Ca (0.327, 0.827, 0.000)
Ca (0.673, 0.173, 0.000)
Ca (0.827, 0.673, 0.000)
Al (0.133, 0.633, 0.500)
Al (0.367, 0.133, 0.500)
Al (0.633, 0.867, 0.500)
Al (0.867, 0.367, 0.500)
Ga (0.000, 0.000, 0.500)
Ga (0.500, 0.500, 0.500)



Entry from Alexandria: a relaxed structure of CaAl4Ga3 (PBE).

Values from the calculation:
Its symmetry is P4/mmm. The formation enthalpy at 0 K is -0.157 eV/atom.

a b c (Å): 4.272 4.272 8.754
angles (deg): 90.00 90.00 90.00
Positions (direct):
Ca (0.000, 0.000, 0.000)
Al (0.000, 0.500, 0.321)
Al (0.000, 0.500, 0.679)
Al (0.500, 0.000, 0.321)
Al (0.500, 0.000, 0.679)
Ga (0.000, 0.000, 0.500)
Ga (0.500, 0.500, 0.147)
Ga (0.500, 0.500, 0.853)



Entry from Alexandria: a relaxed structure of Ca5Al2Ga (PBE).

Values from the calculation:
Its symmetry is I4/mcm. The formation enthalpy at 0 K is -0.234 eV/atom.

a b c (Å): 9.452 9.452 9.452
angles (deg): 129.74 129.74 73.82
Positions (direct):
Ca (0.000, 0.000, 0.000)
Ca (0.028, 0.528, 0.851)
Ca (0.178, 0.028, 0.500)
Ca (0.322, 0.822, 0.851)
Ca (0.472, 0.322, 0.500)
Ca (0.500, 0.500, 0.000)
Ca (0.528, 0.678, 0.500)
Ca (0.678, 0.178, 0.149)
Ca (0.822, 0.972, 0.500)
Ca (0.972, 0.472, 0.149)
Al (0.113, 0.387, 0.500)
Al (0.387, 0.887, 0.274)
Al (0.613, 0.113, 0.726)
Al (0.887, 0.613, 0.500)
Ga (0.250, 0.250, 0.000)
Ga (0.750, 0.750, 0.000)



Entry from Alexandria: a relaxed structure of Ca4Al3Ga (PBE).

Values from the calculation:
Its symmetry is Pmm2. The formation enthalpy at 0 K is -0.288 eV/atom.

a b c (Å): 4.177 4.468 11.731
angles (deg): 90.00 90.00 90.00
Positions (direct):
Ca (0.000, 0.000, 0.000)
Ca (0.000, 0.500, 0.293)
Ca (0.500, 0.000, 0.495)
Ca (0.500, 0.500, 0.796)
Al (0.000, 0.000, 0.709)
Al (0.000, 0.500, 0.582)
Al (0.500, 0.500, 0.084)
Ga (0.500, 0.000, 0.212)



Entry from Alexandria: a relaxed structure of Ca2Al2Ga (PBE).

Values from the calculation:
Its symmetry is Amm2. The formation enthalpy at 0 K is -0.282 eV/atom.

a b c (Å): 3.561 7.618 7.618
angles (deg): 34.41 90.00 90.00
Positions (direct):
Ca (0.000, 0.000, 0.000)
Ca (0.000, 0.231, 0.231)
Al (0.500, 0.617, 0.617)
Al (0.500, 0.817, 0.817)
Ga (0.500, 0.415, 0.415)



Entry from Alexandria: a relaxed structure of CaAl3Ga3 (PBE).

Values from the calculation:
Its symmetry is P2_13. The formation enthalpy at 0 K is -0.125 eV/atom.

a b c (Å): 8.204 8.204 8.204
angles (deg): 90.00 90.00 90.00
Positions (direct):
Ca (0.028, 0.472, 0.528)
Ca (0.472, 0.528, 0.028)
Ca (0.528, 0.028, 0.472)
Ca (0.972, 0.972, 0.972)
Al (0.130, 0.630, 0.870)
Al (0.130, 0.870, 0.370)
Al (0.188, 0.188, 0.188)
Al (0.312, 0.812, 0.688)
Al (0.370, 0.130, 0.870)
Al (0.370, 0.370, 0.370)
Al (0.630, 0.630, 0.630)
Al (0.630, 0.870, 0.130)
Al (0.688, 0.312, 0.812)
Al (0.812, 0.688, 0.312)
Al (0.870, 0.130, 0.630)
Al (0.870, 0.370, 0.130)
Ga (0.088, 0.314, 0.879)
Ga (0.121, 0.588, 0.186)
Ga (0.186, 0.121, 0.588)
Ga (0.314, 0.879, 0.088)
Ga (0.379, 0.412, 0.686)
Ga (0.412, 0.686, 0.379)
Ga (0.588, 0.186, 0.121)
Ga (0.621, 0.912, 0.814)
Ga (0.686, 0.379, 0.412)
Ga (0.814, 0.621, 0.912)
Ga (0.879, 0.088, 0.314)
Ga (0.912, 0.814, 0.621)



Entry from Alexandria: a relaxed structure of Ca8AlGa2 (PBE).

Values from the calculation:
Its symmetry is Immm. The formation enthalpy at 0 K is -0.187 eV/atom.

a b c (Å): 9.251 9.251 9.251
angles (deg): 147.11 126.87 63.92
Positions (direct):
Ca (0.119, 0.340, 0.779)
Ca (0.148, 0.148, 0.000)
Ca (0.303, 0.000, 0.303)
Ca (0.439, 0.660, 0.779)
Ca (0.561, 0.340, 0.221)
Ca (0.697, 0.000, 0.697)
Ca (0.852, 0.852, 0.000)
Ca (0.881, 0.660, 0.221)
Al (0.000, 0.500, 0.500)
Ga (0.315, 0.815, 0.500)
Ga (0.685, 0.185, 0.500)



Entry from Alexandria: a relaxed structure of Ca3Al3Ga8 (PBE).

Values from the calculation:
Its symmetry is Immm. The formation enthalpy at 0 K is -0.347 eV/atom.

a b c (Å): 8.537 8.537 8.537
angles (deg): 151.04 108.96 78.46
Positions (direct):
Ca (0.000, 0.000, 0.000)
Ca (0.307, 0.307, 0.000)
Ca (0.693, 0.693, 0.000)
Al (0.294, 0.500, 0.794)
Al (0.500, 0.000, 0.500)
Al (0.706, 0.500, 0.206)
Ga (0.029, 0.660, 0.370)
Ga (0.141, 0.858, 0.284)
Ga (0.290, 0.660, 0.630)
Ga (0.426, 0.142, 0.284)
Ga (0.574, 0.858, 0.716)
Ga (0.710, 0.340, 0.370)
Ga (0.859, 0.142, 0.716)
Ga (0.971, 0.340, 0.630)



no.,ρ (kg/m3)
1,4979
2,3445
3,5392
4,3847
5,2935
6,5107
7,2779
8,2313
9,2684
10,4698
11,2566
12,3719
13,2783
14,3713
15,2209
16,2359
17,2899
18,3972
19,2378
20,4501